A plane-wave DFT calculation with PBE was carried out for a relaxed Ta3Be8Fe crystal.

Cell: 7.7963 7.7963 7.7963 Å, 33.53 33.53 33.53°
Element x y z (fractional)
1 Ta 0.0000 0.0000 0.0000
2 Ta 0.1277 0.1277 0.1277
3 Ta 0.6188 0.6188 0.6188
4 Be 0.0606 0.0606 0.5611
5 Be 0.0606 0.5611 0.0606
6 Be 0.0609 0.5637 0.5637
7 Be 0.3115 0.3115 0.3115
8 Be 0.5611 0.0606 0.0606
9 Be 0.5637 0.0609 0.5637
10 Be 0.5637 0.5637 0.0609
11 Be 0.8119 0.8119 0.8119
12 Fe 0.4997 0.4997 0.4997

Results
As for the crystal system: trigonal. As for the energy of formation from the pure elements: -0.23 eV/atom. As for the total DFT energy (no corrections): -6.382 eV/atom.

***

A plane-wave DFT calculation with PBE was carried out for a relaxed SrLiLa2 crystal.

Cell: 6.9390 6.9390 6.9390 Å, 145.84 127.91 63.78°
Element x y z (fractional)
1 Sr 0.0000 0.0000 0.0000
2 Li 0.7747 0.2747 0.5000
3 La 0.2863 0.7863 0.5000
4 La 0.5506 0.5506 0.0000

Results
As for the crystal system: orthorhombic. As for the energy of formation from the pure elements: 0.17 eV/atom. The value obtained for the distance to the lowest polymorph of the same formula is 0.384 eV/f.u. As for the total DFT energy (no corrections): -3.193 eV/atom.

***

A plane-wave DFT calculation with PBE was carried out for a relaxed Pm6TlS8 crystal.

Cell: 8.0524 8.0524 8.0524 Å, 94.90 94.90 94.90°
Element x y z (fractional)
1 Pm 0.0646 0.8656 0.6896
2 Pm 0.1344 0.3104 0.9354
3 Pm 0.3104 0.9354 0.1344
4 Pm 0.6896 0.0646 0.8656
5 Pm 0.8656 0.6896 0.0646
6 Pm 0.9354 0.1344 0.3104
7 Tl 0.5000 0.5000 0.5000
8 S 0.0765 0.8262 0.3478
9 S 0.1738 0.6522 0.9235
10 S 0.2542 0.2542 0.2542
11 S 0.3478 0.0765 0.8262
12 S 0.6522 0.9235 0.1738
13 S 0.7458 0.7458 0.7458
14 S 0.8262 0.3478 0.0765
15 S 0.9235 0.1738 0.6522

Results
As for the crystal system: trigonal. For the energy relative to the elements, uncorrected, the calculation gives -1.694 eV/atom. As for the total DFT energy (no corrections): -5.953 eV/atom.

***

A plane-wave DFT calculation with PBE was carried out for a relaxed TcMo3Cl crystal.

Cell: 4.3644 4.3644 4.3644 Å, 90.00 90.00 90.00°
Element x y z (fractional)
1 Tc 0.0000 0.0000 0.0000
2 Mo 0.0000 0.5000 0.5000
3 Mo 0.5000 0.0000 0.5000
4 Mo 0.5000 0.5000 0.0000
5 Cl 0.5000 0.5000 0.5000

Results
As for the crystal system: cubic. For the energy relative to the elements, uncorrected, the calculation gives 1.200 eV/atom. The value obtained for the distance to the lowest polymorph of the same formula is 0.000 eV/f.u. As for the total DFT energy (no corrections): -7.741 eV/atom.

***

A plane-wave DFT calculation with PBE was carried out for a relaxed LiCd2Ni crystal.

Cell: 2.9459 3.8230 5.9463 Å, 90.00 90.00 90.00°
Element x y z (fractional)
1 Li 0.0000 0.0000 0.0000
2 Cd 0.0000 0.0000 0.4373
3 Cd 0.5000 0.5000 0.7567
4 Ni 0.5000 0.5000 0.2185

Results
As for the crystal system: orthorhombic. As for the energy of formation from the pure elements: -0.02 eV/atom. The value obtained for the distance to the lowest polymorph of the same formula is 0.473 eV/f.u. As for the total DFT energy (no corrections): -2.401 eV/atom.

***

A plane-wave DFT calculation with PBE was carried out for a relaxed SrAcNp4N8 crystal.

Cell: 7.0326 7.0326 7.0326 Å, 59.12 59.12 59.12°
Element x y z (fractional)
1 Sr 0.0000 0.0000 0.0000
2 Ac 0.6174 0.6174 0.6174
3 Np 0.3826 0.3826 0.3826
4 Np 0.5013 0.9974 0.9974
5 Np 0.9974 0.5013 0.9974
6 Np 0.9974 0.9974 0.5013
7 N 0.1821 0.7509 0.7509
8 N 0.2357 0.2357 0.2357
9 N 0.2587 0.2587 0.7792
10 N 0.2587 0.7792 0.2587
11 N 0.7509 0.1821 0.7509
12 N 0.7509 0.7509 0.1821
13 N 0.7702 0.7702 0.7702
14 N 0.7792 0.2587 0.2587

Results
As for the crystal system: trigonal. For the energy relative to the elements, uncorrected, the calculation gives -1.012 eV/atom. As for the total DFT energy (no corrections): -9.880 eV/atom.